[1]
First-principles (PBE) data for PmDyCuHg after structural relaxation, as listed in Alexandria.

- DOS(E_F) (states/eV/atom) = 1.044
- energy relative to the lowest polymorph listed for this composition (meV/atom) = 0.0
- ΔE_f (meV per atom) = -333

The structure in CIF format:
```
data_PmDyCuHg
_cell_length_a 3.598
_cell_length_b 3.598
_cell_length_c 7.490
_cell_angle_alpha 90.00
_cell_angle_beta 90.00
_cell_angle_gamma 90.00
_symmetry_space_group_name_H-M 'P 4 m m'
_symmetry_Int_Tables_number 99
loop_
_symmetry_equiv_pos_as_xyz
'x,y,z'
'-y,x,z'
'-x,-y,z'
'y,-x,z'
'-x,y,z'
'y,x,z'
'x,-y,z'
'-y,-x,z'
loop_
_atom_site_label
_atom_site_fract_x
_atom_site_fract_y
_atom_site_fract_z
_atom_site_occupancy
Pm1 0.000 0.000 0.000 1
Dy1 0.000 0.000 0.457 1
Cu1 0.500 0.500 0.246 1
Hg1 0.500 0.500 0.718 1
```



[2]
First-principles (PBE) data for PmDyCuHg after structural relaxation, as listed in Alexandria.

- DOS(E_F) (states/eV/atom) = 0.554
- energy relative to the lowest polymorph listed for this composition (meV/atom) = 24.7
- ΔE_f (meV per atom) = -308

The structure in CIF format:
```
data_PmDyCuHg
_cell_length_a 7.321
_cell_length_b 7.321
_cell_length_c 7.321
_cell_angle_alpha 90.00
_cell_angle_beta 90.00
_cell_angle_gamma 90.00
_symmetry_space_group_name_H-M 'F -4 3 m'
_symmetry_Int_Tables_number 216
_symmetry_space_group_name_Hall 'F -4 2 3'
loop_
_atom_site_label
_atom_site_fract_x
_atom_site_fract_y
_atom_site_fract_z
_atom_site_occupancy
Pm1 0.000 0.000 0.000 1
Dy1 0.000 0.000 0.500 1
Cu1 0.250 0.250 0.250 1
Hg1 0.250 0.250 0.750 1
```



[3]
First-principles (PBE) data for PrDyCuHg after structural relaxation, as listed in Alexandria.

- DOS(E_F) (states/eV/atom) = 0.641
- ΔE_f (meV per atom) = -290

The structure in CIF format:
```
data_PrDyCuHg
_cell_length_a 7.380
_cell_length_b 7.380
_cell_length_c 7.380
_cell_angle_alpha 90.00
_cell_angle_beta 90.00
_cell_angle_gamma 90.00
_symmetry_space_group_name_H-M 'F -4 3 m'
_symmetry_Int_Tables_number 216
_symmetry_space_group_name_Hall 'F -4 2 3'
loop_
_atom_site_label
_atom_site_fract_x
_atom_site_fract_y
_atom_site_fract_z
_atom_site_occupancy
Pr1 0.000 0.000 0.000 1
Dy1 0.000 0.000 0.500 1
Cu1 0.250 0.250 0.750 1
Hg1 0.250 0.250 0.250 1
```



[4]
First-principles (PBE) data for DyCuHgPt after structural relaxation, as listed in Alexandria.

- DOS(E_F) (states/eV/atom) = 0.519
- ΔE_f (meV per atom) = -485

The structure in CIF format:
```
data_DyCuHgPt
_cell_length_a 6.755
_cell_length_b 6.755
_cell_length_c 6.755
_cell_angle_alpha 90.00
_cell_angle_beta 90.00
_cell_angle_gamma 90.00
_symmetry_space_group_name_H-M 'F -4 3 m'
_symmetry_Int_Tables_number 216
_symmetry_space_group_name_Hall 'F -4 2 3'
loop_
_atom_site_label
_atom_site_fract_x
_atom_site_fract_y
_atom_site_fract_z
_atom_site_occupancy
Dy1 0.000 0.000 0.000 1
Cu1 0.250 0.250 0.250 1
Hg1 0.000 0.000 0.500 1
Pt1 0.250 0.250 0.750 1
```



[5]
First-principles (PBE) data for DyPuCuHg after structural relaxation, as listed in Alexandria.

- DOS(E_F) (states/eV/atom) = 2.587
- ΔE_f (meV per atom) = -97

The structure in CIF format:
```
data_DyPuCuHg
_cell_length_a 7.274
_cell_length_b 7.274
_cell_length_c 7.274
_cell_angle_alpha 90.00
_cell_angle_beta 90.00
_cell_angle_gamma 90.00
_symmetry_space_group_name_H-M 'F -4 3 m'
_symmetry_Int_Tables_number 216
_symmetry_space_group_name_Hall 'F -4 2 3'
loop_
_atom_site_label
_atom_site_fract_x
_atom_site_fract_y
_atom_site_fract_z
_atom_site_occupancy
Dy1 0.000 0.000 0.000 1
Pu1 0.000 0.000 0.500 1
Cu1 0.250 0.250 0.250 1
Hg1 0.250 0.250 0.750 1
```



[6]
First-principles (PBE) data for DyCuHgRh after structural relaxation, as listed in Alexandria.

- DOS(E_F) (states/eV/atom) = 0.600
- ΔE_f (meV per atom) = -317

The structure in CIF format:
```
data_DyCuHgRh
_cell_length_a 6.680
_cell_length_b 6.680
_cell_length_c 6.680
_cell_angle_alpha 90.00
_cell_angle_beta 90.00
_cell_angle_gamma 90.00
_symmetry_space_group_name_H-M 'F -4 3 m'
_symmetry_Int_Tables_number 216
_symmetry_space_group_name_Hall 'F -4 2 3'
loop_
_atom_site_label
_atom_site_fract_x
_atom_site_fract_y
_atom_site_fract_z
_atom_site_occupancy
Dy1 0.000 0.000 0.000 1
Cu1 0.250 0.250 0.250 1
Hg1 0.000 0.000 0.500 1
Rh1 0.250 0.250 0.750 1
```



[7]
First-principles (PBE) data for Dy4Cu2HgRu after structural relaxation, as listed in Alexandria.

- DOS(E_F) (states/eV/atom) = 0.636
- ΔE_f (meV per atom) = -355

The structure in CIF format:
```
data_Dy4Cu2HgRu
_cell_length_a 4.9959
_cell_length_b 4.9959
_cell_length_c 24.2550
_cell_angle_alpha 90.00
_cell_angle_beta 90.00
_cell_angle_gamma 120.00
_symmetry_space_group_name_H-M 'R -3 m'
_symmetry_Int_Tables_number 166
_symmetry_space_group_name_Hall '-R 3 2"'
loop_
_atom_site_label
_atom_site_fract_x
_atom_site_fract_y
_atom_site_fract_z
_atom_site_occupancy
Dy1 0.0000 0.0000 0.1173 1
Dy2 0.0000 0.0000 0.3688 1
Cu1 0.0000 0.0000 0.2470 1
Hg1 0.0000 0.0000 0.5000 1
Ru1 0.0000 0.0000 0.0000 1
```



[8]
First-principles (PBE) data for DyCuSnHg after structural relaxation, as listed in Alexandria.

- DOS(E_F) (states/eV/atom) = 0.499
- ΔE_f (meV per atom) = -238

The structure in CIF format:
```
data_DyCuSnHg
_cell_length_a 7.055
_cell_length_b 7.055
_cell_length_c 7.055
_cell_angle_alpha 90.00
_cell_angle_beta 90.00
_cell_angle_gamma 90.00
_symmetry_space_group_name_H-M 'F -4 3 m'
_symmetry_Int_Tables_number 216
_symmetry_space_group_name_Hall 'F -4 2 3'
loop_
_atom_site_label
_atom_site_fract_x
_atom_site_fract_y
_atom_site_fract_z
_atom_site_occupancy
Dy1 0.000 0.000 0.000 1
Cu1 0.250 0.250 0.750 1
Sn1 0.000 0.000 0.500 1
Hg1 0.250 0.250 0.250 1
```



[9]
First-principles (PBE) data for SrDyCuHg after structural relaxation, as listed in Alexandria.

- DOS(E_F) (states/eV/atom) = 0.672
- ΔE_f (meV per atom) = -203

The structure in CIF format:
```
data_SrDyCuHg
_cell_length_a 7.478
_cell_length_b 7.478
_cell_length_c 7.478
_cell_angle_alpha 90.00
_cell_angle_beta 90.00
_cell_angle_gamma 90.00
_symmetry_space_group_name_H-M 'F -4 3 m'
_symmetry_Int_Tables_number 216
_symmetry_space_group_name_Hall 'F -4 2 3'
loop_
_atom_site_label
_atom_site_fract_x
_atom_site_fract_y
_atom_site_fract_z
_atom_site_occupancy
Sr1 0.000 0.000 0.000 1
Dy1 0.000 0.000 0.500 1
Cu1 0.250 0.250 0.250 1
Hg1 0.250 0.250 0.750 1
```



[10]
First-principles (PBE) data for TbDyCuHg after structural relaxation, as listed in Alexandria.

- DOS(E_F) (states/eV/atom) = 0.916
- energy relative to the lowest polymorph listed for this composition (meV/atom) = 0.0
- ΔE_f (meV per atom) = -354

The structure in CIF format:
```
data_TbDyCuHg
_cell_length_a 3.560
_cell_length_b 3.560
_cell_length_c 7.418
_cell_angle_alpha 90.00
_cell_angle_beta 90.00
_cell_angle_gamma 90.00
_symmetry_space_group_name_H-M 'P 4 m m'
_symmetry_Int_Tables_number 99
loop_
_symmetry_equiv_pos_as_xyz
'x,y,z'
'-y,x,z'
'-x,-y,z'
'y,-x,z'
'-x,y,z'
'y,x,z'
'x,-y,z'
'-y,-x,z'
loop_
_atom_site_label
_atom_site_fract_x
_atom_site_fract_y
_atom_site_fract_z
_atom_site_occupancy
Tb1 0.000 0.000 0.000 1
Dy1 0.000 0.000 0.456 1
Cu1 0.500 0.500 0.230 1
Hg1 0.500 0.500 0.726 1
```



[11]
First-principles (PBE) data for TbDyCuHg after structural relaxation, as listed in Alexandria.

- DOS(E_F) (states/eV/atom) = 0.638
- energy relative to the lowest polymorph listed for this composition (meV/atom) = 22.8
- ΔE_f (meV per atom) = -331

The structure in CIF format:
```
data_TbDyCuHg
_cell_length_a 7.238
_cell_length_b 7.238
_cell_length_c 7.238
_cell_angle_alpha 90.00
_cell_angle_beta 90.00
_cell_angle_gamma 90.00
_symmetry_space_group_name_H-M 'F -4 3 m'
_symmetry_Int_Tables_number 216
_symmetry_space_group_name_Hall 'F -4 2 3'
loop_
_atom_site_label
_atom_site_fract_x
_atom_site_fract_y
_atom_site_fract_z
_atom_site_occupancy
Tb1 0.000 0.000 0.000 1
Dy1 0.000 0.000 0.500 1
Cu1 0.250 0.250 0.250 1
Hg1 0.250 0.250 0.750 1
```



[12]
First-principles (PBE) data for DyThCuHg after structural relaxation, as listed in Alexandria.

- DOS(E_F) (states/eV/atom) = 1.052
- ΔE_f (meV per atom) = -173

The structure in CIF format:
```
data_DyThCuHg
_cell_length_a 7.357
_cell_length_b 7.357
_cell_length_c 7.357
_cell_angle_alpha 90.00
_cell_angle_beta 90.00
_cell_angle_gamma 90.00
_symmetry_space_group_name_H-M 'F -4 3 m'
_symmetry_Int_Tables_number 216
_symmetry_space_group_name_Hall 'F -4 2 3'
loop_
_atom_site_label
_atom_site_fract_x
_atom_site_fract_y
_atom_site_fract_z
_atom_site_occupancy
Dy1 0.000 0.000 0.000 1
Th1 0.000 0.000 0.500 1
Cu1 0.250 0.250 0.750 1
Hg1 0.250 0.250 0.250 1
```



[13]
First-principles (PBE) data for DyTmCuHg after structural relaxation, as listed in Alexandria.

- DOS(E_F) (states/eV/atom) = 1.017
- energy relative to the lowest polymorph listed for this composition (meV/atom) = 26.2
- ΔE_f (meV per atom) = -340

The structure in CIF format:
```
data_DyTmCuHg
_cell_length_a 7.173
_cell_length_b 7.173
_cell_length_c 7.173
_cell_angle_alpha 90.00
_cell_angle_beta 90.00
_cell_angle_gamma 90.00
_symmetry_space_group_name_H-M 'F -4 3 m'
_symmetry_Int_Tables_number 216
_symmetry_space_group_name_Hall 'F -4 2 3'
loop_
_atom_site_label
_atom_site_fract_x
_atom_site_fract_y
_atom_site_fract_z
_atom_site_occupancy
Dy1 0.000 0.000 0.000 1
Tm1 0.000 0.000 0.500 1
Cu1 0.250 0.250 0.250 1
Hg1 0.250 0.250 0.750 1
```



[14]
First-principles (PBE) data for DyTmCuHg after structural relaxation, as listed in Alexandria.

- DOS(E_F) (states/eV/atom) = 0.855
- energy relative to the lowest polymorph listed for this composition (meV/atom) = 0.0
- ΔE_f (meV per atom) = -366

The structure in CIF format:
```
data_DyTmCuHg
_cell_length_a 3.509
_cell_length_b 3.509
_cell_length_c 7.429
_cell_angle_alpha 90.00
_cell_angle_beta 90.00
_cell_angle_gamma 90.00
_symmetry_space_group_name_H-M 'P 4 m m'
_symmetry_Int_Tables_number 99
loop_
_symmetry_equiv_pos_as_xyz
'x,y,z'
'-y,x,z'
'-x,-y,z'
'y,-x,z'
'-x,y,z'
'y,x,z'
'x,-y,z'
'-y,-x,z'
loop_
_atom_site_label
_atom_site_fract_x
_atom_site_fract_y
_atom_site_fract_z
_atom_site_occupancy
Dy1 0.000 0.000 0.000 1
Tm1 0.000 0.000 0.548 1
Cu1 0.500 0.500 0.766 1
Hg1 0.500 0.500 0.279 1
```



[15]
First-principles (PBE) data for DyYCuHg after structural relaxation, as listed in Alexandria.

- DOS(E_F) (states/eV/atom) = 0.966
- energy relative to the lowest polymorph listed for this composition (meV/atom) = 22.8
- ΔE_f (meV per atom) = -339

The structure in CIF format:
```
data_DyYCuHg
_cell_length_a 7.233
_cell_length_b 7.233
_cell_length_c 7.233
_cell_angle_alpha 90.00
_cell_angle_beta 90.00
_cell_angle_gamma 90.00
_symmetry_space_group_name_H-M 'F -4 3 m'
_symmetry_Int_Tables_number 216
_symmetry_space_group_name_Hall 'F -4 2 3'
loop_
_atom_site_label
_atom_site_fract_x
_atom_site_fract_y
_atom_site_fract_z
_atom_site_occupancy
Dy1 0.000 0.000 0.000 1
Y1 0.000 0.000 0.500 1
Cu1 0.250 0.250 0.250 1
Hg1 0.250 0.250 0.750 1
```



[16]
First-principles (PBE) data for DyYCuHg after structural relaxation, as listed in Alexandria.

- DOS(E_F) (states/eV/atom) = 0.922
- energy relative to the lowest polymorph listed for this composition (meV/atom) = 0.0
- ΔE_f (meV per atom) = -361

The structure in CIF format:
```
data_DyYCuHg
_cell_length_a 3.550
_cell_length_b 3.550
_cell_length_c 7.447
_cell_angle_alpha 90.00
_cell_angle_beta 90.00
_cell_angle_gamma 90.00
_symmetry_space_group_name_H-M 'P 4 m m'
_symmetry_Int_Tables_number 99
loop_
_symmetry_equiv_pos_as_xyz
'x,y,z'
'-y,x,z'
'-x,-y,z'
'y,-x,z'
'-x,y,z'
'y,x,z'
'x,-y,z'
'-y,-x,z'
loop_
_atom_site_label
_atom_site_fract_x
_atom_site_fract_y
_atom_site_fract_z
_atom_site_occupancy
Dy1 0.000 0.000 0.000 1
Y1 0.000 0.000 0.545 1
Cu1 0.500 0.500 0.776 1
Hg1 0.500 0.500 0.271 1
```



[17]
First-principles (PBE) data for Dy4ZnCuHg2 after structural relaxation, as listed in Alexandria.

- DOS(E_F) (states/eV/atom) = 0.631
- ΔE_f (meV per atom) = -371

The structure in CIF format:
```
data_Dy4ZnCuHg2
_cell_length_a 5.1422
_cell_length_b 5.1422
_cell_length_c 25.1652
_cell_angle_alpha 90.00
_cell_angle_beta 90.00
_cell_angle_gamma 120.00
_symmetry_space_group_name_H-M 'R -3 m'
_symmetry_Int_Tables_number 166
_symmetry_space_group_name_Hall '-R 3 2"'
loop_
_atom_site_label
_atom_site_fract_x
_atom_site_fract_y
_atom_site_fract_z
_atom_site_occupancy
Dy1 0.0000 0.0000 0.1226 1
Dy2 0.0000 0.0000 0.3730 1
Zn1 0.0000 0.0000 0.5000 1
Cu1 0.0000 0.0000 0.0000 1
Hg1 0.0000 0.0000 0.2470 1
```



[18]
First-principles (PBE) data for Dy4ZnCu2Hg after structural relaxation, as listed in Alexandria.

- DOS(E_F) (states/eV/atom) = 0.657
- ΔE_f (meV per atom) = -310

The structure in CIF format:
```
data_Dy4ZnCu2Hg
_cell_length_a 5.0322
_cell_length_b 5.0322
_cell_length_c 24.7995
_cell_angle_alpha 90.00
_cell_angle_beta 90.00
_cell_angle_gamma 120.00
_symmetry_space_group_name_H-M 'R -3 m'
_symmetry_Int_Tables_number 166
_symmetry_space_group_name_Hall '-R 3 2"'
loop_
_atom_site_label
_atom_site_fract_x
_atom_site_fract_y
_atom_site_fract_z
_atom_site_occupancy
Dy1 0.0000 0.0000 0.1219 1
Dy2 0.0000 0.0000 0.3725 1
Zn1 0.0000 0.0000 0.0000 1
Cu1 0.0000 0.0000 0.2521 1
Hg1 0.0000 0.0000 0.5000 1
```



[19]
First-principles (PBE) data for DyZnCuHg after structural relaxation, as listed in Alexandria.

- DOS(E_F) (states/eV/atom) = 0.423
- ΔE_f (meV per atom) = -257

The structure in CIF format:
```
data_DyZnCuHg
_cell_length_a 6.698
_cell_length_b 6.698
_cell_length_c 6.698
_cell_angle_alpha 90.00
_cell_angle_beta 90.00
_cell_angle_gamma 90.00
_symmetry_space_group_name_H-M 'F -4 3 m'
_symmetry_Int_Tables_number 216
_symmetry_space_group_name_Hall 'F -4 2 3'
loop_
_atom_site_label
_atom_site_fract_x
_atom_site_fract_y
_atom_site_fract_z
_atom_site_occupancy
Dy1 0.000 0.000 0.000 1
Zn1 0.250 0.250 0.750 1
Cu1 0.250 0.250 0.250 1
Hg1 0.000 0.000 0.500 1
```



[20]
First-principles (PBE) data for Dy4Zn2CuHg after structural relaxation, as listed in Alexandria.

- DOS(E_F) (states/eV/atom) = 0.881
- ΔE_f (meV per atom) = -339

The structure in CIF format:
```
data_Dy4Zn2CuHg
_cell_length_a 5.0768
_cell_length_b 5.0768
_cell_length_c 24.8714
_cell_angle_alpha 90.00
_cell_angle_beta 90.00
_cell_angle_gamma 120.00
_symmetry_space_group_name_H-M 'R -3 m'
_symmetry_Int_Tables_number 166
_symmetry_space_group_name_Hall '-R 3 2"'
loop_
_atom_site_label
_atom_site_fract_x
_atom_site_fract_y
_atom_site_fract_z
_atom_site_occupancy
Dy1 0.0000 0.0000 0.1199 1
Dy2 0.0000 0.0000 0.3703 1
Zn1 0.0000 0.0000 0.2487 1
Cu1 0.0000 0.0000 0.0000 1
Hg1 0.0000 0.0000 0.5000 1
```